1.
Here is an optimized crystal structure of NaHfGe2 from the Alexandria database. Energies are from PBE-GGA.

```
8
Lattice="4.753 0.000 0.000 0.000 4.753 0.000 2.377 2.377 9.082" Properties=species:S:1:pos:R:3 pbc="T T T"
Ge 0.737 3.565 2.270
Ge 3.565 3.114 6.811
Ge 4.016 1.188 2.270
Ge 5.942 6.393 6.811
Hf 0.000 0.000 0.000
Hf 4.753 2.377 4.541
Na 2.377 4.753 4.541
Na 2.377 2.377 0.000
```

Properties
V = 25.65 Å³/atom
energy relative to the lowest polymorph listed for this composition = 269 meV per atom
theoretical density = 5.61 g/cm3
energy of formation from the pure elements = 0.29 eV per atom
final energy = -4.833 eV per atom

2.
Here is an optimized crystal structure of NaHf2Ge2 from the Alexandria database. Energies are from PBE-GGA.

```
10
Lattice="-6.722 -2.142 2.995 2.501 -7.231 0.442 1.212 0.613 3.160" Properties=species:S:1:pos:R:3 pbc="T T T"
Ge -0.231 -6.906 1.428
Ge -3.990 -2.467 2.009
Ge -4.098 -6.515 2.836
Ge -0.123 -2.857 0.601
Na -2.110 -4.686 1.719
Na 0.000 0.000 0.000
Hf 1.225 -4.712 2.316
Hf -1.634 -7.234 3.902
Hf -4.233 -4.048 4.281
Hf -1.374 -1.526 2.695
```

Properties
V = 20.20 Å³/atom
energy relative to the lowest polymorph listed for this composition = 2 meV per atom
theoretical density = 8.63 g/cm3
energy of formation from the pure elements = -0.23 eV per atom
final energy = -6.324 eV per atom

3.
Here is an optimized crystal structure of NaHfGe2 from the Alexandria database. Energies are from PBE-GGA.

```
4
Lattice="-3.365 -2.669 2.168 -4.508 -0.018 -1.681 -1.737 -3.920 -2.183" Properties=species:S:1:pos:R:3 pbc="T T T"
Ge -2.403 -1.652 -0.424
Ge -7.208 -4.955 -1.272
Hf -4.805 -3.303 -0.848
Na 0.000 0.000 0.000
```

Properties
V = 19.69 Å³/atom
energy relative to the lowest polymorph listed for this composition = 0 meV per atom
theoretical density = 7.31 g/cm3
energy of formation from the pure elements = 0.02 eV per atom
final energy = -5.102 eV per atom

4.
Here is an optimized crystal structure of Na4Hf2Ge3O12 from the Alexandria database. Energies are from PBE-GGA.

```
42
Lattice="-8.872 2.878 -0.234 -6.735 -6.108 2.094 -4.588 0.998 8.063" Properties=species:S:1:pos:R:3 pbc="T T T"
Ge -11.155 -4.584 6.323
Ge -9.040 2.353 3.600
Ge -6.900 -1.920 6.994
Ge -10.891 0.991 8.114
Ge -9.304 -3.222 1.809
Ge -13.295 -0.312 2.929
O -5.865 0.520 4.329
O -10.029 2.858 4.968
O -14.331 -2.751 5.593
O -11.466 -2.870 6.023
O -8.017 -3.067 7.729
O -10.384 -4.776 7.902
O -5.994 -2.429 3.403
O -7.713 -1.416 5.507
O -13.650 -1.734 1.941
O -8.825 -4.829 2.370
O -8.865 -2.019 3.027
O -8.730 0.638 3.900
O -12.178 0.836 2.193
O -13.066 -2.043 8.326
O -11.039 -3.005 1.593
O -10.166 -5.090 4.955
O -9.156 0.773 8.329
O -9.811 2.544 2.021
O -11.371 2.597 7.553
O -14.201 0.197 6.520
O -7.129 -0.189 1.597
O -6.546 -0.498 7.982
O -11.331 -0.213 6.896
O -12.483 -0.815 4.416
Na -12.594 -3.261 3.693
Na -9.745 0.021 1.641
Na -7.601 1.029 6.230
Na -10.450 -2.252 8.282
Na 0.000 0.000 0.000
Na -7.898 -3.839 4.532
Na -10.098 -1.116 4.961
Na -12.298 1.608 5.391
Hf -13.006 -1.437 6.390
Hf -2.908 -0.321 1.429
Hf -17.287 -1.910 8.494
Hf -7.189 -0.794 3.532
```

Properties
V = 14.10 Å³/atom
formation energy without anion corrections = -2.29 eV per atom
theoretical density = 4.82 g/cm3
final energy = -6.979 eV per atom

5.
Here is an optimized crystal structure of NaHfGe2O from the Alexandria database. Energies are from PBE-GGA.

```
5
Lattice="-3.442 2.098 -3.032 -5.296 -5.175 2.431 -1.359 3.134 3.711" Properties=species:S:1:pos:R:3 pbc="T T T"
Ge -0.680 1.567 1.855
Ge -1.721 1.049 -1.516
Hf 0.000 0.000 0.000
O -5.048 0.028 1.555
Na -2.648 -2.587 1.215
```

Properties
V = 39.65 Å³/atom
formation energy without anion corrections = 0.95 eV per atom
theoretical density = 3.04 g/cm3
final energy = -4.139 eV per atom

6.
Here is an optimized crystal structure of NaHfGe2Rh from the Alexandria database. Energies are from PBE-GGA.

```
5
Lattice="-3.137 -3.903 1.516 3.045 -1.051 3.596 -2.577 3.292 3.144" Properties=species:S:1:pos:R:3 pbc="T T T"
Hf 0.000 0.000 0.000
Ge -1.288 1.646 1.572
Ge -1.568 -1.951 0.758
Rh 1.522 -0.525 1.798
Na -1.335 -0.831 4.128
```

Properties
V = 26.42 Å³/atom
theoretical density = 5.65 g/cm3
energy of formation from the pure elements = 0.38 eV per atom
final energy = -5.192 eV per atom

7.
Here is an optimized crystal structure of Na2HfGeSe4 from the Alexandria database. Energies are from PBE-GGA.

```
8
Lattice="-1.789 -3.006 -1.867 5.233 -4.276 1.868 -5.008 -0.259 5.215" Properties=species:S:1:pos:R:3 pbc="T T T"
Na -3.398 -1.632 1.674
Na 0.113 -2.267 3.542
Hf 1.722 -3.641 0.000
Se 2.736 -3.174 2.488
Se -0.661 -2.645 0.681
Se -2.510 -1.360 4.596
Se -0.902 -4.895 4.535
Ge 0.000 0.000 0.000
```

Properties
V = 23.96 Å³/atom
formation energy without anion corrections = -1.03 eV per atom
theoretical density = 5.31 g/cm3
final energy = -4.920 eV per atom

8.
Here is an optimized crystal structure of Na2HfGeTe4 from the Alexandria database. Energies are from PBE-GGA.

```
8
Lattice="-2.749 -2.085 -2.471 5.465 -1.415 -4.886 -0.139 -5.893 5.128" Properties=species:S:1:pos:R:3 pbc="T T T"
Te 2.621 -6.713 -0.896
Te -0.045 -2.680 -1.334
Te 1.347 -5.001 2.722
Te 3.979 -2.307 -2.481
Hf 1.358 -1.750 -3.679
Na -1.444 -3.989 1.328
Na 2.663 -3.654 0.121
Ge 0.000 0.000 0.000
```

Properties
V = 29.53 Å³/atom
formation energy without anion corrections = -0.70 eV per atom
theoretical density = 5.68 g/cm3
final energy = -4.418 eV per atom

- What is the formula in the first record?
  NaHfGe2

- What is the theoretical density in the seventh record?
  5.31 g/cm3